A plane-wave DFT calculation with PBE-GGA was carried out for a geometry-optimized NaAlAg2F6 structure.

Results
**SG**: P2_1/c (14)
**DFT total energy**: -4.602 eV per atom
**M_tot**: 0.00 μB per formula unit
**Crystal system**: monoclinic
**Uncorrected formation energy**: -2403 meV per atom

Unit cell a=5.692 b=5.712 c=9.902 alpha=90.00 beta=124.96 gamma=90.00
Atoms (fractional coordinates):
Na: 0.000 0.000 0.000
Na: 0.000 0.500 0.500
Al: 0.500 0.000 0.500
Al: 0.500 0.500 0.000
Ag: 0.249 0.027 0.749
Ag: 0.249 0.473 0.249
Ag: 0.751 0.527 0.751
Ag: 0.751 0.973 0.251
F: 0.197 0.165 0.472
F: 0.197 0.335 0.972
F: 0.304 0.725 0.466
F: 0.304 0.775 0.966
F: 0.339 0.024 0.278
F: 0.339 0.476 0.778
F: 0.661 0.524 0.222
F: 0.661 0.976 0.722
F: 0.696 0.225 0.034
F: 0.696 0.275 0.534
F: 0.803 0.665 0.028
F: 0.803 0.835 0.528

A plane-wave DFT calculation with PBE-GGA was carried out for a geometry-optimized NaSm4Dy3Te8 structure.

Results
**SG**: R-3m (166)
**DFT total energy**: -5.033 eV per atom
**M_tot**: 0.00 μB per formula unit
**Crystal system**: trigonal
**Uncorrected formation energy**: -1337 meV per atom

Unit cell a=8.840 b=8.840 c=8.840 alpha=59.78 beta=59.78 gamma=59.78
Atoms (fractional coordinates):
Na: 0.000 0.000 0.000
Sm: 0.000 0.000 0.500
Sm: 0.000 0.500 0.000
Sm: 0.500 0.000 0.000
Sm: 0.500 0.500 0.500
Dy: 0.000 0.500 0.500
Dy: 0.500 0.000 0.500
Dy: 0.500 0.500 0.000
Te: 0.247 0.247 0.748
Te: 0.247 0.748 0.247
Te: 0.252 0.252 0.252
Te: 0.252 0.753 0.753
Te: 0.748 0.247 0.247
Te: 0.748 0.748 0.748
Te: 0.753 0.252 0.753
Te: 0.753 0.753 0.252

A plane-wave DFT calculation with PBE-GGA was carried out for a geometry-optimized Ca2ScP3Pt12 structure.

Results
**SG**: R-3m (166)
**Formation energy**: -43.6 kJ/mol of atoms
**DFT total energy**: -5.955 eV per atom
**M_tot**: 0.00 μB per formula unit
**Crystal system**: trigonal

Unit cell a=7.602 b=7.602 c=7.602 alpha=66.04 beta=66.04 gamma=66.04
Atoms (fractional coordinates):
Ca: 0.100 0.100 0.100
Ca: 0.900 0.900 0.900
Sc: 0.500 0.500 0.500
P: 0.000 0.500 0.500
P: 0.500 0.000 0.500
P: 0.500 0.500 0.000
Pt: 0.116 0.635 0.635
Pt: 0.159 0.159 0.600
Pt: 0.159 0.600 0.159
Pt: 0.365 0.365 0.884
Pt: 0.365 0.884 0.365
Pt: 0.400 0.841 0.841
Pt: 0.600 0.159 0.159
Pt: 0.635 0.116 0.635
Pt: 0.635 0.635 0.116
Pt: 0.841 0.400 0.841
Pt: 0.841 0.841 0.400
Pt: 0.884 0.365 0.365

A plane-wave DFT calculation with PBE-GGA was carried out for a geometry-optimized Sn2SbI structure.

Results
**SG**: I-42d (122)
**DFT total energy**: -3.315 eV per atom
**M_tot**: 0.00 μB per formula unit
**Relative energy among the computed polymorphs**: 226.7 meV per atom
**Crystal system**: tetragonal
**Uncorrected formation energy**: 105 meV per atom

Unit cell a=7.248 b=7.248 c=7.248 alpha=109.62 beta=109.62 gamma=109.18
Atoms (fractional coordinates):
Sn: 0.093 0.625 0.968
Sn: 0.375 0.343 0.468
Sn: 0.657 0.125 0.032
Sn: 0.875 0.907 0.532
Sb: 0.000 0.000 0.000
Sb: 0.750 0.250 0.500
I: 0.250 0.750 0.500
I: 0.500 0.500 0.000

A plane-wave DFT calculation with PBE-GGA was carried out for a geometry-optimized CeSO4 structure.

Results
**SG**: P222 (16)
**DFT total energy**: -6.916 eV per atom
**M_tot**: 0.19 μB per formula unit
**Crystal system**: orthorhombic
**Uncorrected formation energy**: -1934 meV per atom

Unit cell a=6.162 b=6.262 c=6.444 alpha=90.00 beta=90.00 gamma=90.00
Atoms (fractional coordinates):
Ce: 0.000 0.000 0.000
Ce: 0.500 0.000 0.500
S: 0.000 0.000 0.500
S: 0.000 0.500 0.000
O: 0.137 0.354 0.128
O: 0.137 0.646 0.872
O: 0.229 0.033 0.710
O: 0.229 0.967 0.290
O: 0.771 0.033 0.290
O: 0.771 0.967 0.710
O: 0.863 0.354 0.872
O: 0.863 0.646 0.128

A plane-wave DFT calculation with PBE-GGA was carried out for a geometry-optimized PmErZn2Ga2 structure.

Results
**SG**: P-3m1 (164)
**Formation energy**: -54.6 kJ/mol of atoms
**DFT total energy**: -3.552 eV per atom
**M_tot**: 0.00 μB per formula unit
**Crystal system**: trigonal

Unit cell a=4.434 b=4.434 c=7.308 alpha=90.00 beta=90.00 gamma=120.00
Atoms (fractional coordinates):
Pm: 0.000 0.000 0.000
Er: 0.000 0.000 0.500
Zn: 0.333 0.667 0.273
Zn: 0.667 0.333 0.727
Ga: 0.333 0.667 0.735
Ga: 0.667 0.333 0.265